1.
Compound: CaFeAs3
Source: Alexandria
Functional: PBE-GGA
Structure: optimized geometry

Structure (POSCAR):
```
CaFeAs3
1.0
4.696 0.000 0.000
0.000 4.696 0.000
0.000 0.000 4.696
Ca Fe As
1 1 3
Direct
0.000 0.000 0.000
0.500 0.500 0.500
0.000 0.500 0.500
0.500 0.000 0.500
0.500 0.500 0.000
```

Calculated values
* total magnetization: 0.0 μB/cell
* formation energy from the elements: -0.078 eV per atom
* V: 104 Å³ per cell
* DOS(E_F): 1.370 states/eV per atom
* space-group type: No. 221
* energy relative to the lowest polymorph listed for this composition: 0.0000 eV per atom

2.
Compound: NaEuGe2
Source: Alexandria
Functional: PBE-GGA
Structure: optimized geometry

Structure (POSCAR):
```
NaEuGe2
1.0
3.209 0.000 0.000
0.000 3.209 0.000
0.000 0.000 9.156
Na Eu Ge
1 1 2
Direct
0.000 0.000 0.000
0.000 0.000 0.500
0.500 0.500 0.251
0.500 0.500 0.749
```

Calculated values
* total magnetization: 7.1 μB/cell
* formation energy from the elements: -0.192 eV per atom
* V: 94 Å³ per cell
* DOS(E_F): 1.356 states/eV per atom
* space-group type: No. 123

3.
Compound: Rb3NdEr2Te6
Source: Alexandria
Functional: PBE-GGA
Structure: optimized geometry

Structure (POSCAR):
```
Rb3NdEr2Te6
1.0
3.940 -6.825 0.000
3.940 6.825 0.000
-2.630 0.000 8.553
Rb Nd Er Te
3 1 2 6
Direct
0.000 0.000 0.000
0.336 0.664 0.000
0.664 0.336 0.000
0.500 0.500 0.500
0.167 0.833 0.500
0.833 0.167 0.500
0.091 0.433 0.300
0.224 0.224 0.699
0.433 0.091 0.300
0.567 0.909 0.700
0.776 0.776 0.301
0.909 0.567 0.700
```

Calculated values
* total magnetization: 0.0 μB/cell
* ΔE_f (raw): -1380 meV per atom
* V: 460 Å³ per cell
* DOS(E_F): 0.000 states/eV per atom
* space-group type: No. 12

4.
Compound: BaZnRu2
Source: Alexandria
Functional: PBE-GGA
Structure: optimized geometry

Structure (POSCAR):
```
BaZnRu2
1.0
3.003 0.000 0.000
0.000 4.458 0.000
-0.652 0.000 6.223
Ba Zn Ru
1 1 2
Direct
0.000 0.000 0.000
0.500 0.000 0.500
0.272 0.500 0.666
0.728 0.500 0.334
```

Calculated values
* total magnetization: 0.0 μB/cell
* formation energy from the elements: 0.603 eV per atom
* V: 83 Å³ per cell
* DOS(E_F): 1.337 states/eV per atom
* space-group type: No. 10